Hf4CoHg PBE relaxed; ΔE_f = -0.7 eV/f.u.; space group = C2/c
1.0
-4.4459 0.9324 -2.8388
-1.7472 -2.6905 7.5688
3.0126 6.4650 -0.3987
Hf Co Hg
8 2 2
direct
0.0564 0.1868 0.8291
0.7706 0.7123 0.6359
0.2727 0.6423 0.8291
0.3653 0.9235 0.6359
0.6347 0.0765 0.3641
0.7273 0.3577 0.1709
0.2294 0.2877 0.3641
0.9436 0.8132 0.1709
0.2522 0.0022 0.0045
0.7478 0.9978 0.9955
0.3615 0.6115 0.2231
0.6385 0.3885 0.7769

***

Hf6Co2Hg PBE relaxed; ΔE_f = -1.8 eV/f.u.; space group = Immm
1.0
7.2675 0.0772 -2.6683
-4.1217 6.3398 -1.6616
-0.2918 -0.0772 7.7364
Hf Co Hg
12 4 2
direct
0.4906 0.3023 0.1882
0.5094 0.6977 0.8118
0.8859 0.6977 0.1882
0.1141 0.3023 0.8118
0.2050 0.7653 0.9703
0.7950 0.2347 0.0297
0.7950 0.7653 0.5602
0.2050 0.2347 0.4398
0.3083 0.9809 0.6726
0.6917 0.0191 0.3274
0.6917 0.3642 0.6726
0.3083 0.6358 0.3274
0.5000 0.3723 0.8723
0.5000 0.6277 0.1277
0.3444 0.0000 0.3444
0.6556 0.0000 0.6556
0.0000 0.5000 0.5000
0.0000 0.0000 0.0000

***

| no. | size of the total moment (Bohr magnetons per cell) |
| --- | --- |
| 1 | 0.00 |
| 2 | 0.00 |